1.
Density functional theory data (GGA-PBE) for a relaxed structure of Sr2Li4Au.

Computed properties:
Fermi-level density of states: 0.70 states/eV per atom
ΔE_f: -0.10 eV/atom

Unit cell a=5.000 b=5.000 c=17.176 alpha=90.00 beta=90.00 gamma=90.00
Space group I4/mmm (No. 139)
Inequivalent atoms, fractional coordinates:
Sr  0.000  0.000  0.150 x4
Li  0.000  0.000  0.354 x4
Li  0.000  0.500  0.000 x4
Au  0.000  0.000  0.500 x2

***

2.
Density functional theory data (GGA-PBE) for a relaxed structure of Zr2CrHg.

Computed properties:
Fermi-level density of states: 0.68 states/eV per atom
ΔE_f: 0.19 eV/atom
energy relative to the lowest polymorph listed for this composition: 203 meV per atom

Unit cell a=6.828 b=6.828 c=6.828 alpha=90.00 beta=90.00 gamma=90.00
Space group F-43m (No. 216)
Inequivalent atoms, fractional coordinates:
Zr  0.000  0.000  0.000 x4
Zr  0.250  0.250  0.250 x4
Cr  0.250  0.250  0.750 x4
Hg  0.000  0.000  0.500 x4

***

3.
Density functional theory data (GGA-PBE) for a relaxed structure of Tb8SiGe5.

Computed properties:
Fermi-level density of states: 0.10 states/eV per atom
total energy: -77.27 eV/f.u.

Unit cell a=8.878 b=8.878 c=8.877 alpha=90.00 beta=90.00 gamma=90.00
Space group I-4 (No. 82)
Inequivalent atoms, fractional coordinates:
Tb  0.065  0.186  0.191 x8
Tb  0.066  0.316  0.558 x8
Si  0.000  0.500  0.250 x2
Ge  0.000  0.000  0.500 x2
Ge  0.125  0.250  0.875 x8

***

4.
Density functional theory data (GGA-PBE) for a relaxed structure of Zr2ZnCdCl.

Computed properties:
Fermi-level density of states: 1.29 states/eV per atom
total energy: -19.52 eV/f.u.

Unit cell a=4.761 b=4.761 c=5.155 alpha=90.00 beta=90.00 gamma=90.00
Space group P4/mmm (No. 123)
Inequivalent atoms, fractional coordinates:
Zr  0.000  0.500  0.000 x2
Zn  0.000  0.000  0.500 x1
Cd  0.500  0.500  0.500 x1
Cl  0.500  0.500  0.000 x1

***

5.
Density functional theory data (GGA-PBE) for a relaxed structure of Sr3Li2PuO9.

Computed properties:
Fermi-level density of states: 0.62 states/eV per atom
total energy: -100.27 eV/f.u.

Unit cell a=5.6008 b=5.6008 c=7.3576 alpha=90.00 beta=90.00 gamma=120.00
Space group P-3m1 (No. 164)
Inequivalent atoms, fractional coordinates:
Sr  0.0000  0.0000  0.0000 x1
Sr  0.3333  0.6667  0.7265 x2
Li  0.3333  0.6667  0.1763 x2
Pu  0.0000  0.0000  0.5000 x1
O  0.0000  0.5000  0.0000 x3
O  0.1616  0.3232  0.3383 x6

***

6.
Density functional theory data (GGA-PBE) for a relaxed structure of NaAc2Ho.

Computed properties:
Fermi-level density of states: 0.93 states/eV per atom
ΔE_f: 0.08 eV/atom
energy relative to the lowest polymorph listed for this composition: 0 meV per atom

Unit cell a=3.8435 b=3.8435 c=37.7531 alpha=90.00 beta=90.00 gamma=120.00
Space group R3m (No. 160, hexagonal axes)
Inequivalent atoms, fractional coordinates:
Na  0.0000  0.0000  0.0000 x3
Ac  0.0000  0.0000  0.4224 x3
Ac  0.0000  0.0000  0.5780 x3
Ho  0.0000  0.0000  0.1669 x3

***

7.
Density functional theory data (GGA-PBE) for a relaxed structure of Pm2Th2Sc3.

Computed properties:
Fermi-level density of states: 1.64 states/eV per atom
ΔE_f: 0.16 eV/atom

Unit cell a=16.992 b=3.362 c=8.283 alpha=90.00 beta=118.36 gamma=90.00
Space group C2/m (No. 12)
Inequivalent atoms, fractional coordinates:
Pm  0.066  0.000  0.406 x4
Th  0.152  0.500  0.859 x4
Sc  0.000  0.500  0.000 x2
Sc  0.216  0.500  0.305 x4

***

8.
Density functional theory data (GGA-PBE) for a relaxed structure of InAg2Os.

Computed properties:
Fermi-level density of states: 0.82 states/eV per atom
ΔE_f: 0.47 eV/atom

Unit cell a=3.989 b=3.989 c=4.377 alpha=90.00 beta=90.00 gamma=90.00
Space group P4/mmm (No. 123)
Inequivalent atoms, fractional coordinates:
In  0.000  0.000  0.000 x1
Ag  0.000  0.500  0.500 x2
Os  0.500  0.500  0.000 x1

***

9.
Density functional theory data (GGA-PBE) for a relaxed structure of Tb6TlIn2.

Computed properties:
Fermi-level density of states: 1.07 states/eV per atom
ΔE_f: -0.30 eV/atom

Unit cell a=8.9750 b=8.9750 c=3.7487 alpha=90.00 beta=90.00 gamma=120.00
Space group P-62m (No. 189)
Inequivalent atoms, fractional coordinates:
Tb  0.0000  0.2887  0.0000 x3
Tb  0.0000  0.6180  0.5000 x3
Tl  0.0000  0.0000  0.5000 x1
In  0.3333  0.6667  0.0000 x2

***

10.
Density functional theory data (GGA-PBE) for a relaxed structure of BaSr2Sb.

Computed properties:
Fermi-level density of states: 0.76 states/eV per atom
total energy: -11.60 eV/f.u.

Unit cell a=4.378 b=5.981 c=14.264 alpha=90.00 beta=90.00 gamma=90.00
Space group Immm (No. 71)
Inequivalent atoms, fractional coordinates:
Ba  0.000  0.000  0.000 x2
Sr  0.000  0.500  0.180 x4
Sb  0.000  0.000  0.500 x2

***

11.
Density functional theory data (GGA-PBE) for a relaxed structure of KSi2Pb.

Computed properties:
Fermi-level density of states: 0.23 states/eV per atom
total energy: -15.13 eV/f.u.

Unit cell a=4.551 b=3.829 c=7.065 alpha=90.00 beta=108.72 gamma=90.00
Space group Pm (No. 6)
Inequivalent atoms, fractional coordinates:
K  0.000  0.000  0.000 x1
Si  0.626  0.500  0.253 x1
Si  0.734  0.000  0.471 x1
Pb  0.283  0.500  0.569 x1

***

12.
Density functional theory data (GGA-PBE) for a relaxed structure of Pr4AsPdI2.

Computed properties:
Fermi-level density of states: 0.78 states/eV per atom
total energy: -40.45 eV/f.u.

Unit cell a=7.789 b=4.233 c=8.066 alpha=90.00 beta=106.93 gamma=90.00
Space group P2/m (No. 10)
Inequivalent atoms, fractional coordinates:
Pr  0.221  0.000  0.196 x2
Pr  0.271  0.500  0.796 x2
As  0.500  0.000  0.000 x1
Pd  0.000  0.500  0.000 x1
I  0.000  0.000  0.500 x1
I  0.500  0.500  0.500 x1

***

13.
Density functional theory data (GGA-PBE) for a relaxed structure of MgTaCuRh.

Computed properties:
Fermi-level density of states: 1.19 states/eV per atom
ΔE_f: -0.21 eV/atom

Unit cell a=6.277 b=6.277 c=6.277 alpha=90.00 beta=90.00 gamma=90.00
Space group F-43m (No. 216)
Inequivalent atoms, fractional coordinates:
Mg  0.000  0.000  0.000 x4
Ta  0.000  0.000  0.500 x4
Cu  0.250  0.250  0.250 x4
Rh  0.250  0.250  0.750 x4